Density functional theory data (PBE) for an optimized crystal structure of ReIr3.

It has space group P4/mmm (No. 123), with a = 2.735 Å, b = 2.735 Å, c = 7.804 Å, α = 90.00°, β = 90.00° and γ = 90.00°. The asymmetric unit holds Re at (0.000, 0.000, 0.000), Ir at (0.000, 0.000, 0.500) and Ir at (0.500, 0.500, 0.247).

The calculation puts the formation energy at -9 kJ per mole of atoms. As for the magnetic moment: 0.00 μB/atom. The density is 21.7 Mg/m³.

***

Density functional theory data (PBE) for an optimized crystal structure of BaSbPt3.

It has space group P3m1 (No. 156), with a = 6.7148 Å, b = 6.7148 Å, c = 6.7651 Å, α = 90.00°, β = 90.00° and γ = 120.00°. The asymmetric unit holds Ba at (0.0000, 0.0000, 0.0000), Ba at (0.3333, 0.6667, 0.5687), Sb at (0.3333, 0.6667, 0.0600), Sb at (0.6667, 0.3333, 0.6619), Pt at (0.2594, 0.1297, 0.4867) and Pt at (0.5336, 0.0672, 0.2203).

As for the magnetic moment: 0.00 μB/atom. The density is 10.6 Mg/m³. The raw formation energy is -0.47 eV per atom.

***

Density functional theory data (PBE) for an optimized crystal structure of MgNbSe2.

It has space group R-3m (No. 166, hexagonal axes), with a = 3.6907 Å, b = 3.6907 Å, c = 24.4866 Å, α = 90.00°, β = 90.00° and γ = 120.00°. The asymmetric unit holds Mg at (0.0000, 0.0000, 0.0000), Nb at (0.0000, 0.0000, 0.5000) and Se at (0.0000, 0.0000, 0.3992).

As for the magnetic moment: 0.25 μB/atom. The density is 4.7 Mg/m³. The raw formation energy is -0.14 eV per atom.

***

Density functional theory data (PBE) for an optimized crystal structure of K2YB2S6.

It has space group C2/m (No. 12), with a = 11.577 Å, b = 6.593 Å, c = 8.319 Å, α = 90.00°, β = 118.62° and γ = 90.00°. The asymmetric unit holds K at (0.202, 0.000, 0.188), Y at (0.000, 0.000, 0.500), B at (0.062, 0.500, 0.279), S at (0.032, 0.266, 0.773) and S at (0.236, 0.500, 0.351).

As for the magnetic moment: 0.00 μB/atom. The density is 2.3 Mg/m³. The raw formation energy is -0.97 eV per atom.